# BaTlZn2Cu

A relaxed BaTlZn2Cu crystal (GGA-PBE, Alexandria).

Geometry as CIF:
```
data_BaTlZn2Cu
_chemical_formula_sum 'Ba1 Tl1 Zn2 Cu1'
_symmetry_space_group_name_H-M 'P 4/m m m'
_symmetry_Int_Tables_number 123
_symmetry_space_group_name_Hall '-P 4 2'
_cell_length_a 4.936
_cell_length_b 4.936
_cell_length_c 5.238
_cell_angle_alpha 90.00
_cell_angle_beta 90.00
_cell_angle_gamma 90.00
loop_
_atom_site_label
_atom_site_type_symbol
_atom_site_fract_x
_atom_site_fract_y
_atom_site_fract_z
_atom_site_occupancy
Ba1 Ba 0.000 0.000 0.000 1
Tl1 Tl 0.500 0.500 0.000 1
Zn1 Zn 0.000 0.500 0.500 1
Cu1 Cu 0.500 0.500 0.500 1
```

Properties
The formation energy comes out at -0.043 eV per atom. The crystal system is tetragonal. Its mass density is 7.0 Mg/m³. The value obtained for the total energy is -2.23 eV per atom.

# Ce3Tc

A relaxed Ce3Tc crystal (GGA-PBE, Alexandria).

Geometry as CIF:
```
data_Ce3Tc
_chemical_formula_sum 'Ce6 Tc2'
_symmetry_space_group_name_H-M 'I m m 2'
_symmetry_Int_Tables_number 44
_symmetry_space_group_name_Hall 'I 2 -2'
_cell_length_a 3.374
_cell_length_b 10.427
_cell_length_c 5.434
_cell_angle_alpha 90.00
_cell_angle_beta 90.00
_cell_angle_gamma 90.00
loop_
_atom_site_label
_atom_site_type_symbol
_atom_site_fract_x
_atom_site_fract_y
_atom_site_fract_z
_atom_site_occupancy
Ce1 Ce 0.000 0.000 0.000 1
Ce2 Ce 0.000 0.197 0.597 1
Tc1 Tc 0.000 0.500 0.905 1
```

Properties
The formation energy comes out at 0.062 eV per atom. The crystal system is orthorhombic. Its mass density is 9.0 Mg/m³. The value obtained for the total energy is -6.98 eV per atom.

# PaAlGa3

A relaxed PaAlGa3 crystal (GGA-PBE, Alexandria).

Geometry as CIF:
```
data_PaAlGa3
_chemical_formula_sum 'Pa1 Al1 Ga3'
_symmetry_space_group_name_H-M 'P m -3 m'
_symmetry_Int_Tables_number 221
_symmetry_space_group_name_Hall '-P 4 2 3'
_cell_length_a 5.542
_cell_length_b 5.542
_cell_length_c 5.542
_cell_angle_alpha 90.00
_cell_angle_beta 90.00
_cell_angle_gamma 90.00
loop_
_atom_site_label
_atom_site_type_symbol
_atom_site_fract_x
_atom_site_fract_y
_atom_site_fract_z
_atom_site_occupancy
Pa1 Pa 0.000 0.000 0.000 1
Al1 Al 0.500 0.500 0.500 1
Ga1 Ga 0.000 0.000 0.500 1
```

Properties
The formation energy comes out at 1.124 eV per atom. The calculation puts the excess energy over the best structure of this formula in the dataset at 1198 meV/atom. The crystal system is cubic. Its mass density is 4.6 Mg/m³. The value obtained for the total energy is -3.34 eV per atom.

# InSb2IO

A relaxed InSb2IO crystal (GGA-PBE, Alexandria).

Geometry as CIF:
```
data_InSb2IO
_chemical_formula_sum 'In1 Sb2 I1 O1'
_symmetry_space_group_name_H-M 'P 4/m m m'
_symmetry_Int_Tables_number 123
_symmetry_space_group_name_Hall '-P 4 2'
_cell_length_a 5.697
_cell_length_b 5.697
_cell_length_c 6.049
_cell_angle_alpha 90.00
_cell_angle_beta 90.00
_cell_angle_gamma 90.00
loop_
_atom_site_label
_atom_site_type_symbol
_atom_site_fract_x
_atom_site_fract_y
_atom_site_fract_z
_atom_site_occupancy
In1 In 0.000 0.000 0.000 1
Sb1 Sb 0.000 0.500 0.000 1
I1 I 0.000 0.000 0.500 1
O1 O 0.500 0.500 0.500 1
```

Properties
The calculation puts the excess energy over the best structure of this formula in the dataset at 1069 meV/atom. The crystal system is tetragonal. Its mass density is 4.2 Mg/m³. Its uncorrected formation energy is 1.021 eV/atom. The value obtained for the total energy is -2.48 eV per atom.

# HoNp6S12

A relaxed HoNp6S12 crystal (GGA-PBE, Alexandria).

Geometry as CIF:
```
data_HoNp6S12
_chemical_formula_sum 'Ho3 Np18 S36'
_symmetry_space_group_name_H-M 'R -3'
_symmetry_Int_Tables_number 148
_symmetry_space_group_name_Hall '-R 3'
_cell_length_a 12.0212
_cell_length_b 12.0212
_cell_length_c 11.0442
_cell_angle_alpha 90.00
_cell_angle_beta 90.00
_cell_angle_gamma 120.00
loop_
_atom_site_label
_atom_site_type_symbol
_atom_site_fract_x
_atom_site_fract_y
_atom_site_fract_z
_atom_site_occupancy
Ho1 Ho 0.0000 0.0000 0.0000 1
Np1 Np 0.0482 0.7812 0.6462 1
S1 S 0.0344 0.8168 0.3951 1
S2 S 0.0481 0.8335 0.8864 1
```

Properties
The crystal system is trigonal. Its mass density is 7.1 Mg/m³. Its uncorrected formation energy is -1.437 eV/atom. The value obtained for the total energy is -8.37 eV per atom.

# NbCrPd6

A relaxed NbCrPd6 crystal (GGA-PBE, Alexandria).

Geometry as CIF:
```
data_NbCrPd6
_chemical_formula_sum 'Nb1 Cr1 Pd6'
_symmetry_space_group_name_H-M 'P 4/m m m'
_symmetry_Int_Tables_number 123
_symmetry_space_group_name_Hall '-P 4 2'
_cell_length_a 3.955
_cell_length_b 3.955
_cell_length_c 7.888
_cell_angle_alpha 90.00
_cell_angle_beta 90.00
_cell_angle_gamma 90.00
loop_
_atom_site_label
_atom_site_type_symbol
_atom_site_fract_x
_atom_site_fract_y
_atom_site_fract_z
_atom_site_occupancy
Nb1 Nb 0.000 0.000 0.000 1
Cr1 Cr 0.000 0.000 0.500 1
Pd1 Pd 0.000 0.500 0.247 1
Pd2 Pd 0.500 0.500 0.000 1
Pd3 Pd 0.500 0.500 0.500 1
```

Properties
The formation energy comes out at -0.279 eV per atom. The calculation puts the excess energy over the best structure of this formula in the dataset at 0 meV/atom. The crystal system is tetragonal. Its mass density is 10.5 Mg/m³. The value obtained for the total energy is -6.64 eV per atom.

Copy entry 3 word for word.
# PaAlGa3

A relaxed PaAlGa3 crystal (GGA-PBE, Alexandria).

Geometry as CIF:
```
data_PaAlGa3
_chemical_formula_sum 'Pa1 Al1 Ga3'
_symmetry_space_group_name_H-M 'P m -3 m'
_symmetry_Int_Tables_number 221
_symmetry_space_group_name_Hall '-P 4 2 3'
_cell_length_a 5.542
_cell_length_b 5.542
_cell_length_c 5.542
_cell_angle_alpha 90.00
_cell_angle_beta 90.00
_cell_angle_gamma 90.00
loop_
_atom_site_label
_atom_site_type_symbol
_atom_site_fract_x
_atom_site_fract_y
_atom_site_fract_z
_atom_site_occupancy
Pa1 Pa 0.000 0.000 0.000 1
Al1 Al 0.500 0.500 0.500 1
Ga1 Ga 0.000 0.000 0.500 1
```

Properties
The formation energy comes out at 1.124 eV per atom. The calculation puts the excess energy over the best structure of this formula in the dataset at 1198 meV/atom. The crystal system is cubic. Its mass density is 4.6 Mg/m³. The value obtained for the total energy is -3.34 eV per atom.

Please write out number 1 again, unchanged.
# BaTlZn2Cu

A relaxed BaTlZn2Cu crystal (GGA-PBE, Alexandria).

Geometry as CIF:
```
data_BaTlZn2Cu
_chemical_formula_sum 'Ba1 Tl1 Zn2 Cu1'
_symmetry_space_group_name_H-M 'P 4/m m m'
_symmetry_Int_Tables_number 123
_symmetry_space_group_name_Hall '-P 4 2'
_cell_length_a 4.936
_cell_length_b 4.936
_cell_length_c 5.238
_cell_angle_alpha 90.00
_cell_angle_beta 90.00
_cell_angle_gamma 90.00
loop_
_atom_site_label
_atom_site_type_symbol
_atom_site_fract_x
_atom_site_fract_y
_atom_site_fract_z
_atom_site_occupancy
Ba1 Ba 0.000 0.000 0.000 1
Tl1 Tl 0.500 0.500 0.000 1
Zn1 Zn 0.000 0.500 0.500 1
Cu1 Cu 0.500 0.500 0.500 1
```

Properties
The formation energy comes out at -0.043 eV per atom. The crystal system is tetragonal. Its mass density is 7.0 Mg/m³. The value obtained for the total energy is -2.23 eV per atom.